First-principles (PBE) data for TbGa6Pd6 after structural relaxation, as listed in Alexandria via LeMat-Bulk.

```
13
Lattice="-2.7521 4.1814 4.7474 2.7521 -4.1814 4.7474 2.7521 4.1814 -4.7474" Properties=species:S:1:pos:R:3 pbc="T T T"
Tb 0.0000 0.0000 0.0000
Ga 2.7521 0.0000 1.6829
Ga 0.0000 0.0000 3.2480
Ga 0.0000 2.9391 0.0000
Ga 0.0000 5.4236 0.0000
Ga 0.0000 0.0000 6.2468
Ga 0.0000 4.1814 3.0645
Pd 1.3761 2.0907 -2.3737
Pd 1.3761 -2.0907 2.3737
Pd 2.7521 2.0078 0.0000
Pd -1.3761 2.0907 2.3737
Pd 1.3761 2.0907 2.3737
Pd 0.0000 2.1736 4.7474
```

Properties
**Space group**: Immm
**M_tot**: 0.00 μB/f.u.
**E_tot**: -62.1 eV/f.u.